# 1
Computed, not measured: a relaxed structure of ZnHRu2Pt at the GGA-PBE level of DFT.

Cell and atoms, written as CIF:
```
data_ZnHRu2Pt
_cell_length_a 3.8175
_cell_length_b 3.8175
_cell_length_c 4.1279
_cell_angle_alpha 90.00
_cell_angle_beta 90.00
_cell_angle_gamma 90.00
_space_group_name_H-M_alt 'P 4/m m m'
_space_group_IT_number 123
_space_group_name_Hall '-P 4 2'
loop_
_atom_site_label
_atom_site_type_symbol
_atom_site_fract_x
_atom_site_fract_y
_atom_site_fract_z
Zn1 Zn 0.0000 0.0000 0.0000
H1 H 0.0000 0.0000 0.5000
Ru1 Ru 0.0000 0.5000 0.5000
Pt1 Pt 0.5000 0.5000 0.0000
```

Properties
spin magnetization: 0.002 μB per cell
polymorph energy (0 for the lowest one): 3 meV per atom

# 2
Computed, not measured: a relaxed structure of ZnHRu2Pt at the GGA-PBE level of DFT.

Cell and atoms, written as CIF:
```
data_ZnHRu2Pt
_cell_length_a 3.8471
_cell_length_b 3.8471
_cell_length_c 4.0839
_cell_angle_alpha 90.00
_cell_angle_beta 90.00
_cell_angle_gamma 90.00
_space_group_name_H-M_alt 'P 4/m m m'
_space_group_IT_number 123
_space_group_name_Hall '-P 4 2'
loop_
_atom_site_label
_atom_site_type_symbol
_atom_site_fract_x
_atom_site_fract_y
_atom_site_fract_z
Zn1 Zn 0.0000 0.0000 0.0000
H1 H 0.5000 0.5000 0.5000
Ru1 Ru 0.0000 0.5000 0.5000
Pt1 Pt 0.5000 0.5000 0.0000
```

Properties
spin magnetization: 0.000 μB per cell
polymorph energy (0 for the lowest one): 0 meV per atom

# 3
Computed, not measured: a relaxed structure of ZrHRu2Pt at the GGA-PBE level of DFT.

Cell and atoms, written as CIF:
```
data_ZrHRu2Pt
_cell_length_a 3.9743
_cell_length_b 3.9743
_cell_length_c 4.1463
_cell_angle_alpha 90.00
_cell_angle_beta 90.00
_cell_angle_gamma 90.00
_space_group_name_H-M_alt 'P 4/m m m'
_space_group_IT_number 123
_space_group_name_Hall '-P 4 2'
loop_
_atom_site_label
_atom_site_type_symbol
_atom_site_fract_x
_atom_site_fract_y
_atom_site_fract_z
Zr1 Zr 0.0000 0.0000 0.0000
H1 H 0.0000 0.0000 0.5000
Ru1 Ru 0.0000 0.5000 0.5000
Pt1 Pt 0.5000 0.5000 0.0000
```

Properties
spin magnetization: 0.000 μB per cell
polymorph energy (0 for the lowest one): 0 meV per atom

# 4
Computed, not measured: a relaxed structure of ZrHRu2Pt at the GGA-PBE level of DFT.

Cell and atoms, written as CIF:
```
data_ZrHRu2Pt
_cell_length_a 4.0485
_cell_length_b 4.0485
_cell_length_c 3.9942
_cell_angle_alpha 90.00
_cell_angle_beta 90.00
_cell_angle_gamma 90.00
_space_group_name_H-M_alt 'P 4/m m m'
_space_group_IT_number 123
_space_group_name_Hall '-P 4 2'
loop_
_atom_site_label
_atom_site_type_symbol
_atom_site_fract_x
_atom_site_fract_y
_atom_site_fract_z
Zr1 Zr 0.0000 0.0000 0.0000
H1 H 0.5000 0.5000 0.5000
Ru1 Ru 0.0000 0.5000 0.5000
Pt1 Pt 0.5000 0.5000 0.0000
```

Properties
spin magnetization: 0.000 μB per cell
polymorph energy (0 for the lowest one): 20 meV per atom

# 5
Computed, not measured: a relaxed structure of H2PtS at the GGA-PBE level of DFT.

Cell and atoms, written as CIF:
```
data_H2PtS
_cell_length_a 5.3170
_cell_length_b 5.3170
_cell_length_c 5.3170
_cell_angle_alpha 90.00
_cell_angle_beta 90.00
_cell_angle_gamma 90.00
_space_group_name_H-M_alt 'F m -3 m'
_space_group_IT_number 225
_space_group_name_Hall '-F 4 2 3'
loop_
_atom_site_label
_atom_site_type_symbol
_atom_site_fract_x
_atom_site_fract_y
_atom_site_fract_z
H1 H 0.2500 0.2500 0.2500
Pt1 Pt 0.0000 0.0000 0.0000
S1 S 0.0000 0.0000 0.5000
```

Properties
spin magnetization: 0.000 μB per cell
polymorph energy (0 for the lowest one): 324 meV per atom

# 6
Computed, not measured: a relaxed structure of HPtS4 at the GGA-PBE level of DFT.

Cell and atoms, written as CIF:
```
data_HPtS4
_cell_length_a 5.5276
_cell_length_b 7.5619
_cell_length_c 8.1106
_cell_angle_alpha 98.68
_cell_angle_beta 95.63
_cell_angle_gamma 107.51
_space_group_name_H-M_alt 'P -1'
_space_group_IT_number 2
loop_
_space_group_symop_operation_xyz
'x,y,z'
'-x,-y,-z'
loop_
_atom_site_label
_atom_site_type_symbol
_atom_site_fract_x
_atom_site_fract_y
_atom_site_fract_z
H1 H 0.0003 0.1923 0.1872
Pt1 Pt 0.0000 0.5000 0.5000
Pt2 Pt 0.5000 0.0000 0.0000
S1 S 0.0100 0.4140 0.2121
S2 S 0.1075 0.0301 0.9006
S3 S 0.3693 0.6777 0.9031
S4 S 0.4419 0.6042 0.5575
```

Properties
E: -4.39 eV/atom
spin magnetization: 0.000 μB per cell

# 7
Computed, not measured: a relaxed structure of HPtS2 at the GGA-PBE level of DFT.

Cell and atoms, written as CIF:
```
data_HPtS2
_cell_length_a 3.7520
_cell_length_b 3.7520
_cell_length_c 16.8348
_cell_angle_alpha 90.00
_cell_angle_beta 90.00
_cell_angle_gamma 120.00
_space_group_name_H-M_alt 'R -3 m'
_space_group_IT_number 166
_space_group_name_Hall '-R 3 2"'
loop_
_atom_site_label
_atom_site_type_symbol
_atom_site_fract_x
_atom_site_fract_y
_atom_site_fract_z
H1 H 0.0000 0.0000 0.0000
Pt1 Pt 0.0000 0.0000 0.5000
S1 S 0.0000 0.0000 0.0979
```

Properties
spin magnetization: 0.000 μB per cell
polymorph energy (0 for the lowest one): 108 meV per atom

# 8
Computed, not measured: a relaxed structure of HPtS2 at the GGA-PBE level of DFT.

Cell and atoms, written as CIF:
```
data_HPtS2
_cell_length_a 5.9382
_cell_length_b 5.9382
_cell_length_c 5.9382
_cell_angle_alpha 90.00
_cell_angle_beta 90.00
_cell_angle_gamma 90.00
_space_group_name_H-M_alt 'F m -3 m'
_space_group_IT_number 225
_space_group_name_Hall '-F 4 2 3'
loop_
_atom_site_label
_atom_site_type_symbol
_atom_site_fract_x
_atom_site_fract_y
_atom_site_fract_z
H1 H 0.0000 0.0000 0.0000
Pt1 Pt 0.0000 0.0000 0.5000
S1 S 0.2500 0.2500 0.2500
```

Properties
spin magnetization: 0.001 μB per cell
polymorph energy (0 for the lowest one): 935 meV per atom

# 9
Computed, not measured: a relaxed structure of H2PtS at the GGA-PBE level of DFT.

Cell and atoms, written as CIF:
```
data_H2PtS
_cell_length_a 2.6926
_cell_length_b 2.6926
_cell_length_c 20.4561
_cell_angle_alpha 90.00
_cell_angle_beta 90.00
_cell_angle_gamma 120.00
_space_group_name_H-M_alt 'R -3 m'
_space_group_IT_number 166
_space_group_name_Hall '-R 3 2"'
loop_
_atom_site_label
_atom_site_type_symbol
_atom_site_fract_x
_atom_site_fract_y
_atom_site_fract_z
H1 H 0.0000 0.0000 0.0828
Pt1 Pt 0.0000 0.0000 0.0000
S1 S 0.0000 0.0000 0.5000
```

Properties
spin magnetization: 0.000 μB per cell
polymorph energy (0 for the lowest one): 59 meV per atom

# 10
Computed, not measured: a relaxed structure of HPt2S3 at the GGA-PBE level of DFT.

Cell and atoms, written as CIF:
```
data_HPt2S3
_cell_length_a 6.9103
_cell_length_b 6.9103
_cell_length_c 5.6730
_cell_angle_alpha 90.00
_cell_angle_beta 90.00
_cell_angle_gamma 120.00
_space_group_name_H-M_alt 'P -3 m 1'
_space_group_IT_number 164
_space_group_name_Hall '-P 3 2"'
loop_
_atom_site_label
_atom_site_type_symbol
_atom_site_fract_x
_atom_site_fract_y
_atom_site_fract_z
H1 H 0.3333 0.6667 0.0738
Pt1 Pt 0.0000 0.0000 0.0000
Pt2 Pt 0.0000 0.5000 0.0000
S1 S 0.1671 0.3341 0.7731
```

Properties
E: -4.81 eV/atom
spin magnetization: 0.000 μB per cell

# 11
Computed, not measured: a relaxed structure of HPt3S at the GGA-PBE level of DFT.

Cell and atoms, written as CIF:
```
data_HPt3S
_cell_length_a 4.0594
_cell_length_b 4.0594
_cell_length_c 4.0594
_cell_angle_alpha 90.00
_cell_angle_beta 90.00
_cell_angle_gamma 90.00
_space_group_name_H-M_alt 'P m -3 m'
_space_group_IT_number 221
_space_group_name_Hall '-P 4 2 3'
loop_
_atom_site_label
_atom_site_type_symbol
_atom_site_fract_x
_atom_site_fract_y
_atom_site_fract_z
H1 H 0.0000 0.0000 0.0000
Pt1 Pt 0.0000 0.0000 0.5000
S1 S 0.5000 0.5000 0.5000
```

Properties
spin magnetization: 0.000 μB per cell
polymorph energy (0 for the lowest one): 0 meV per atom

# 12
Computed, not measured: a relaxed structure of HPtS2 at the GGA-PBE level of DFT.

Cell and atoms, written as CIF:
```
data_HPtS2
_cell_length_a 5.0841
_cell_length_b 5.0841
_cell_length_c 9.4302
_cell_angle_alpha 90.00
_cell_angle_beta 90.00
_cell_angle_gamma 90.00
_space_group_name_H-M_alt 'I -4 2 d'
_space_group_IT_number 122
_space_group_name_Hall 'I -4 2bw'
loop_
_atom_site_label
_atom_site_type_symbol
_atom_site_fract_x
_atom_site_fract_y
_atom_site_fract_z
H1 H 0.0000 0.0000 0.0000
Pt1 Pt 0.0000 0.0000 0.5000
S1 S 0.2023 0.2500 0.1250
```

Properties
spin magnetization: 0.000 μB per cell
polymorph energy (0 for the lowest one): 487 meV per atom

> Which value of spin magnetization does entry 3 give?

0.000 μB per cell

> What is the formula in the ninth record?

H2PtS